(1)
{"formula": "Zr2Sn2Pb", "functional": "GGA-PBE", "state": "relaxed", "lattice_angstrom": [[4.072, 0.000, 0.000], [0.000, 4.072, 0.000], [0.000, 0.000, 15.141]], "species": ["Zr", "Zr", "Zr", "Zr", "Sn", "Sn", "Sn", "Sn", "Pb", "Pb"], "fractional_positions": [[0.000, 0.000, 0.099], [0.000, 0.000, 0.901], [0.500, 0.500, 0.401], [0.500, 0.500, 0.599], [0.000, 0.500, 0.250], [0.000, 0.500, 0.750], [0.500, 0.000, 0.250], [0.500, 0.000, 0.750], [0.000, 0.000, 0.500], [0.500, 0.500, 0.000]], "space_group": "I4/mmm", "dos_at_fermi_per_ev_cell": 4.5, "de_polymorph_kj_per_mol_atoms": 13.7, "m_tot_mub_per_atom": 0.000, "formation_enthalpy_0k_ev_per_atom": -0.12, "dft_energy_ha_per_atom": -0.2161}

(2)
{"formula": "Sc2BiRu2", "functional": "GGA-PBE", "state": "relaxed", "lattice_angstrom": [[7.541, 0.000, 0.000], [0.000, 7.541, 0.000], [0.000, 0.000, 3.350]], "species": ["Sc", "Sc", "Sc", "Sc", "Bi", "Bi", "Ru", "Ru", "Ru", "Ru"], "fractional_positions": [[0.154, 0.346, 0.000], [0.346, 0.846, 0.000], [0.654, 0.154, 0.000], [0.846, 0.654, 0.000], [0.000, 0.000, 0.500], [0.500, 0.500, 0.500], [0.141, 0.641, 0.500], [0.359, 0.141, 0.500], [0.641, 0.859, 0.500], [0.859, 0.359, 0.500]], "space_group": "P4/mbm", "dos_at_fermi_per_ev_cell": 9.3, "de_polymorph_kj_per_mol_atoms": 0.0, "m_tot_mub_per_atom": 0.000, "formation_enthalpy_0k_ev_per_atom": -0.24, "dft_energy_ha_per_atom": -0.2669}

(3)
{"formula": "GdSnAu", "functional": "GGA-PBE", "state": "relaxed", "lattice_angstrom": [[4.781, 0.000, 0.000], [-2.390, 4.140, 0.000], [0.000, 0.000, 3.598]], "species": ["Gd", "Sn", "Au"], "fractional_positions": [[0.000, 0.000, 0.000], [0.333, 0.667, 0.500], [0.667, 0.333, 0.500]], "space_group": "P-6m2", "dos_at_fermi_per_ev_cell": 2.4, "m_tot_mub_per_atom": 2.447, "formation_enthalpy_0k_ev_per_atom": -0.77, "dft_energy_ha_per_atom": -0.2899}

(4)
{"formula": "Rb2HI", "functional": "GGA-PBE", "state": "relaxed", "lattice_angstrom": [[4.769, 0.000, 0.000], [-2.385, 4.130, 0.000], [0.000, 0.000, 24.079]], "species": ["Rb", "Rb", "Rb", "Rb", "Rb", "Rb", "H", "H", "H", "I", "I", "I"], "fractional_positions": [[0.000, 0.000, 0.235], [0.000, 0.000, 0.765], [0.333, 0.667, 0.432], [0.333, 0.667, 0.902], [0.667, 0.333, 0.098], [0.667, 0.333, 0.568], [0.000, 0.000, 0.500], [0.333, 0.667, 0.167], [0.667, 0.333, 0.833], [0.000, 0.000, 0.000], [0.333, 0.667, 0.667], [0.667, 0.333, 0.333]], "space_group": "R-3m", "dos_at_fermi_per_ev_cell": 0.0, "de_polymorph_kj_per_mol_atoms": 0.0, "m_tot_mub_per_atom": 0.011, "dft_energy_ha_per_atom": -0.0917}

(5)
{"formula": "PmHo2Er", "functional": "GGA-PBE", "state": "relaxed", "lattice_angstrom": [[8.007, 0.000, 0.000], [0.000, 8.007, 0.000], [0.000, 0.000, 8.007]], "species": ["Pm", "Pm", "Pm", "Pm", "Ho", "Ho", "Ho", "Ho", "Ho", "Ho", "Ho", "Ho", "Er", "Er", "Er", "Er"], "fractional_positions": [[0.000, 0.000, 0.000], [0.000, 0.500, 0.500], [0.500, 0.000, 0.500], [0.500, 0.500, 0.000], [0.250, 0.250, 0.250], [0.250, 0.250, 0.750], [0.250, 0.750, 0.250], [0.250, 0.750, 0.750], [0.750, 0.250, 0.250], [0.750, 0.250, 0.750], [0.750, 0.750, 0.250], [0.750, 0.750, 0.750], [0.000, 0.000, 0.500], [0.000, 0.500, 0.000], [0.500, 0.000, 0.000], [0.500, 0.500, 0.500]], "space_group": "Fm-3m", "dos_at_fermi_per_ev_cell": 35.0, "de_polymorph_kj_per_mol_atoms": 11.7, "m_tot_mub_per_atom": 0.000, "formation_enthalpy_0k_ev_per_atom": 0.14, "dft_energy_ha_per_atom": -0.1646}